# 1
A plane-wave DFT calculation with GGA-PBE was carried out for a relaxed structure of Tm6Cd3Hg.

Cell: 5.236 9.182 11.487 Å, 108.36 90.00 90.00°
Element x y z (fractional)
Hg (0.750, 0.052, 0.393)
Cd (0.250, 0.385, 0.782)
Tm (0.750, 0.342, 0.322)
Cd (0.250, 0.527, 0.378)
Cd (0.750, 0.615, 0.218)
Tm (0.750, 0.154, 0.685)
Tm (0.250, 0.130, 0.164)
Tm (0.250, 0.846, 0.315)
Tm (0.750, 0.752, 0.505)
Tm (0.250, 0.658, 0.678)
Cd (0.750, 0.226, 0.026)
Cd (0.250, 0.774, 0.974)
Tm (0.750, 0.535, 0.910)
Tm (0.250, 0.465, 0.090)
Tm (0.250, 0.248, 0.495)
Hg (0.250, 0.948, 0.607)
Cd (0.750, 0.473, 0.622)
Tm (0.250, 0.108, 0.876)
Tm (0.750, 0.892, 0.124)
Tm (0.750, 0.870, 0.836)

Symmetry: No. 11
M_tot (μB/cell): 0.00
D(E_F) (states/eV/cell): 15.68
DFT formation energy (eV/atom): -0.243

***

# 2
A plane-wave DFT calculation with GGA-PBE was carried out for a relaxed structure of Tm2CdHg.

Cell: 5.208 5.208 5.208 Å, 60.00 60.00 60.00°
Element x y z (fractional)
Tm (0.250, 0.250, 0.250)
Tm (0.750, 0.750, 0.750)
Hg (0.000, 0.000, 0.000)
Cd (0.500, 0.500, 0.500)

Symmetry: No. 225
M_tot (μB/cell): 0.00
D(E_F) (states/eV/cell): 3.02
DFT formation energy (eV/atom): -0.391

***

# 3
A plane-wave DFT calculation with GGA-PBE was carried out for a relaxed structure of Tm3Cd3Hg2.

Cell: 3.785 7.784 7.784 Å, 120.00 90.00 90.00°
Element x y z (fractional)
Tm (0.500, 0.599, 0.000)
Cd (0.000, 0.772, 0.772)
Hg (0.000, 0.333, 0.667)
Hg (0.000, 0.667, 0.333)
Tm (0.500, 0.000, 0.599)
Cd (0.000, 0.228, 0.000)
Cd (0.000, 0.000, 0.228)
Tm (0.500, 0.401, 0.401)

Symmetry: No. 189
M_tot (μB/cell): 0.00
D(E_F) (states/eV/cell): 5.93
DFT formation energy (eV/atom): -0.328

***

# 4
A plane-wave DFT calculation with GGA-PBE was carried out for a relaxed structure of TmCd6Hg5.

Cell: 5.673 5.393 12.971 Å, 73.69 57.73 58.27°
Element x y z (fractional)
Cd (0.610, 0.000, 0.744)
Cd (0.272, 0.666, 0.751)
Hg (0.167, 0.666, 0.500)
Hg (0.664, 0.672, 0.000)
Hg (0.833, 0.334, 0.500)
Cd (0.728, 0.334, 0.249)
Tm (0.000, 0.000, 0.000)
Hg (0.336, 0.328, 0.000)
Cd (0.062, 0.666, 0.249)
Cd (0.938, 0.334, 0.751)
Cd (0.390, 0.000, 0.256)
Hg (0.500, 0.000, 0.500)

Symmetry: No. 12
M_tot (μB/cell): 0.00
D(E_F) (states/eV/cell): 2.48
DFT formation energy (eV/atom): -0.060

***

# 5
A plane-wave DFT calculation with GGA-PBE was carried out for a relaxed structure of TmCd8Hg6.

Cell: 7.887 7.887 7.887 Å, 63.20 63.20 63.20°
Element x y z (fractional)
Hg (0.163, 0.161, 0.544)
Hg (0.837, 0.839, 0.456)
Cd (0.728, 0.727, 0.110)
Cd (0.579, 0.579, 0.579)
Cd (0.727, 0.110, 0.728)
Hg (0.161, 0.544, 0.163)
Tm (0.000, 0.000, 0.000)
Cd (0.890, 0.272, 0.273)
Cd (0.273, 0.890, 0.272)
Hg (0.544, 0.163, 0.161)
Cd (0.272, 0.273, 0.890)
Cd (0.421, 0.421, 0.421)
Hg (0.456, 0.837, 0.839)
Hg (0.839, 0.456, 0.837)
Cd (0.110, 0.728, 0.727)

Symmetry: No. 148
M_tot (μB/cell): 0.00
D(E_F) (states/eV/cell): 6.19
DFT formation energy (eV/atom): -0.032

***

# 6
A plane-wave DFT calculation with GGA-PBE was carried out for a relaxed structure of TmCdHg6.

Cell: 6.400 6.400 8.403 Å, 67.62 67.62 60.00°
Element x y z (fractional)
Hg (0.448, 0.927, 0.698)
Hg (0.552, 0.073, 0.302)
Hg (0.073, 0.073, 0.302)
Cd (0.500, 0.500, 0.500)
Tm (0.000, 0.000, 0.000)
Hg (0.073, 0.552, 0.302)
Hg (0.927, 0.927, 0.698)
Hg (0.927, 0.448, 0.698)

Symmetry: No. 166
M_tot (μB/cell): 0.00
D(E_F) (states/eV/cell): 3.27
DFT formation energy (eV/atom): 0.075

***

# 7
A plane-wave DFT calculation with GGA-PBE was carried out for a relaxed structure of TmCdHg3.

Cell: 6.415 5.240 10.437 Å, 104.54 132.85 90.00°
Element x y z (fractional)
Hg (0.904, 0.199, 0.398)
Hg (0.368, 0.598, 0.197)
Cd (0.385, 0.197, 0.394)
Hg (0.257, 0.000, 0.000)
Cd (0.615, 0.803, 0.606)
Tm (0.106, 0.393, 0.786)
Hg (0.096, 0.801, 0.602)
Hg (0.743, 0.000, 0.000)
Tm (0.894, 0.607, 0.214)
Hg (0.632, 0.402, 0.803)

Symmetry: No. 12
M_tot (μB/cell): 0.00
D(E_F) (states/eV/cell): 4.80
DFT formation energy (eV/atom): -0.183

***

# 8
A plane-wave DFT calculation with GGA-PBE was carried out for a relaxed structure of Tm8CdHg2.

Cell: 5.412 8.392 8.392 Å, 117.50 100.88 100.88°
Element x y z (fractional)
Tm (0.110, 0.329, 0.096)
Cd (0.500, 0.000, 0.000)
Tm (0.500, 0.220, 0.780)
Hg (0.000, 0.696, 0.304)
Hg (0.000, 0.304, 0.696)
Tm (0.110, 0.096, 0.329)
Tm (0.500, 0.780, 0.220)
Tm (0.890, 0.671, 0.904)
Tm (0.303, 0.606, 0.606)
Tm (0.697, 0.394, 0.394)
Tm (0.890, 0.904, 0.671)

Symmetry: No. 12
M_tot (μB/cell): 0.00
D(E_F) (states/eV/cell): 13.08
DFT formation energy (eV/atom): -0.093

***

# 9
A plane-wave DFT calculation with GGA-PBE was carried out for a relaxed structure of Tm2CdHg3.

Cell: 5.982 5.982 9.165 Å, 102.12 102.12 110.90°
Element x y z (fractional)
Hg (0.663, 0.169, 0.832)
Hg (0.831, 0.337, 0.168)
Tm (0.250, 0.750, 0.500)
Hg (0.833, 0.833, 0.665)
Tm (0.750, 0.250, 0.500)
Hg (0.337, 0.831, 0.168)
Hg (0.169, 0.663, 0.832)
Cd (0.667, 0.667, 0.334)
Tm (0.248, 0.248, 0.000)
Hg (0.167, 0.167, 0.335)
Tm (0.752, 0.752, 0.000)
Cd (0.333, 0.333, 0.666)

Symmetry: No. 69
M_tot (μB/cell): 0.00
D(E_F) (states/eV/cell): 6.91
DFT formation energy (eV/atom): -0.343

***

# 10
A plane-wave DFT calculation with GGA-PBE was carried out for a relaxed structure of Tm2Cd2Hg7.

Cell: 5.389 10.141 7.711 Å, 48.89 70.45 59.41°
Element x y z (fractional)
Cd (0.194, 0.616, 0.000)
Hg (0.600, 0.726, 0.000)
Tm (0.500, 0.838, 0.324)
Hg (0.833, 0.928, 0.485)
Hg (0.400, 0.274, 0.000)
Tm (0.500, 0.162, 0.676)
Hg (0.000, 0.000, 0.000)
Hg (0.167, 0.587, 0.485)
Hg (0.167, 0.072, 0.515)
Hg (0.833, 0.413, 0.515)
Cd (0.806, 0.384, 0.000)

Symmetry: No. 12
M_tot (μB/cell): 0.00
D(E_F) (states/eV/cell): 4.41
DFT formation energy (eV/atom): -0.154

***

# 11
A plane-wave DFT calculation with GGA-PBE was carried out for a relaxed structure of Tm3Cd2Hg7.

Cell: 3.465 5.101 17.163 Å, 98.47 90.00 90.00°
Element x y z (fractional)
Cd (0.500, 0.353, 0.707)
Hg (0.000, 0.000, 0.000)
Cd (0.500, 0.647, 0.293)
Tm (0.000, 0.192, 0.382)
Hg (0.500, 0.892, 0.786)
Hg (0.000, 0.576, 0.145)
Hg (0.000, 0.424, 0.855)
Hg (0.500, 0.108, 0.214)
Hg (0.500, 0.271, 0.542)
Hg (0.500, 0.729, 0.458)
Tm (0.000, 0.808, 0.618)
Tm (0.500, 0.500, 0.000)

Symmetry: No. 10
M_tot (μB/cell): 0.00
D(E_F) (states/eV/cell): 6.38
DFT formation energy (eV/atom): -0.202

***

# 12
A plane-wave DFT calculation with GGA-PBE was carried out for a relaxed structure of Tm6CdHg2.

Cell: 5.034 7.129 8.741 Å, 114.07 106.75 90.00°
Element x y z (fractional)
Tm (0.167, 0.916, 0.335)
Tm (0.167, 0.418, 0.335)
Tm (0.500, 0.253, 0.000)
Hg (0.667, 0.667, 0.334)
Tm (0.833, 0.582, 0.665)
Cd (0.000, 0.000, 0.000)
Hg (0.333, 0.333, 0.666)
Tm (0.500, 0.747, 0.000)
Tm (0.833, 0.084, 0.665)

Symmetry: No. 71
M_tot (μB/cell): 0.00
D(E_F) (states/eV/cell): 5.24
DFT formation energy (eV/atom): -0.054

***

> Which value of DFT formation energy does entry 4 give?

-0.060 eV/atom

***

> The highest DFT formation energy belongs to which entry?

TmCdHg6